[1]
The following is a DFT calculation (GGA-PBE) of crystalline TlSbS3 at its relaxed geometry.

a = 5.0790 Å, b = 5.0790 Å, c = 5.0790 Å
α = 90.00°, β = 90.00°, γ = 90.00°
With the nearest neighbours (Å) after each atom.
Fractional coordinates of all 5 atoms:
S 0.0000 0.0000 0.5000  2 Sb 2.54
S 0.0000 0.5000 0.0000  2 Sb 2.54
S 0.5000 0.0000 0.0000  2 Sb 2.54
Sb 0.0000 0.0000 0.0000  6 S 2.54
Tl 0.5000 0.5000 0.5000  12 S 3.59

Computed properties:
Density ... 5.35 g/cm³
Electronic total energy ... -0.27030 Ry per atom
Crystal system ... cubic
SG ... Pm-3m, No. 221

=====

[2]
The following is a DFT calculation (GGA-PBE) of crystalline Be2InHg at its relaxed geometry.

a = 2.9648 Å, b = 2.9648 Å, c = 7.8304 Å
α = 90.00°, β = 90.00°, γ = 90.00°
With the nearest neighbours (Å) after each atom.
Fractional coordinates of all 4 atoms:
Be 0.5000 0.5000 0.1818  4 Be 2.25
Be 0.0000 0.0000 0.0781  4 Be 2.25
Hg 0.0000 0.0000 0.4374  5 Be 2.81-2.90, 4 Hg 2.96
In 0.5000 0.5000 0.8027  4 In 2.96, 5 Be 2.97-3.01

Computed properties:
Density ... 8.04 g/cm³
Electronic total energy ... -0.15858 Ry per atom
Crystal system ... tetragonal
SG ... P4mm, No. 99

=====

[3]
The following is a DFT calculation (GGA-PBE) of crystalline YbP3O10 at its relaxed geometry.

a = 7.0335 Å, b = 7.0335 Å, c = 5.6095 Å
α = 68.02°, β = 68.02°, γ = 56.51°
With the nearest neighbours (Å) after each atom.
Fractional coordinates of all 14 atoms:
P 0.4925 0.1743 0.1603  4 O 1.52-1.63
P 0.8257 0.5075 0.8397  4 O 1.52-1.63
P 0.2952 0.7048 0.0000  4 O 1.50-1.58
O 0.9079 0.3447 0.0920  1 P 1.52
O 0.3230 0.4525 0.0687  2 P 1.58-1.63
O 0.6553 0.0921 0.9080  1 P 1.52
O 0.8584 0.3804 0.6478  1 P 1.52
O 0.6196 0.1416 0.3522  1 P 1.52
O 0.5475 0.6770 0.9313  2 P 1.58-1.63
O 0.1892 0.8431 0.7628  1 P 1.50
O 0.3280 0.0707 0.2916  1 P 1.52
O 0.9293 0.6720 0.7084  1 P 1.52
O 0.1569 0.8108 0.2372  1 P 1.50
Yb 0.9319 0.0681 0.5000  6 O 2.25-2.38

Computed properties:
Density ... 3.38 g/cm³
Electronic total energy ... -0.50222 Ry per atom
Crystal system ... monoclinic
SG ... C2, No. 5

=====

[4]
The following is a DFT calculation (GGA-PBE) of crystalline Mn2AsOs at its relaxed geometry.

a = 4.3046 Å, b = 2.8437 Å, c = 4.4561 Å
α = 90.00°, β = 90.00°, γ = 90.00°
With the nearest neighbours (Å) after each atom.
Fractional coordinates of all 4 atoms:
Mn 0.0000 0.1251 0.9817  2 Mn 2.49, 4 Os 2.60-2.68, 4 As 2.73
Mn 0.5000 0.1249 0.2625  2 Mn 2.49, 4 As 2.56-2.73, 4 Os 2.74
As 0.5000 0.6250 0.7844  8 Mn 2.56-2.73, 2 Os 2.56, 2 As 2.84
Os 0.0000 0.6250 0.4714  2 As 2.56, 8 Mn 2.60-2.74, 2 Os 2.84

Computed properties:
Density ... 11.42 g/cm³
Electronic total energy ... -0.62319 Ry per atom
Crystal system ... orthorhombic
SG ... Pmm2, No. 25

=====

[5]
The following is a DFT calculation (GGA-PBE) of crystalline HgBi7Pb12 at its relaxed geometry.

a = 9.2483 Å, b = 9.2483 Å, c = 9.2483 Å
α = 107.14°, β = 107.14°, γ = 107.14°
With the nearest neighbours (Å) after each atom.
Fractional coordinates of all 20 atoms:
Bi 0.4864 0.0900 0.1943  8 Pb 3.40-3.58, 1 Bi 3.61
Bi 0.5136 0.9100 0.8057  8 Pb 3.40-3.58, 1 Bi 3.61
Bi 0.8057 0.5136 0.9100  8 Pb 3.40-3.58, 1 Bi 3.61
Bi 0.9100 0.8057 0.5136  8 Pb 3.40-3.58, 1 Bi 3.61
Bi 0.5000 0.5000 0.5000  6 Pb 3.35
Bi 0.1943 0.4864 0.0900  8 Pb 3.40-3.58, 1 Bi 3.61
Bi 0.0900 0.1943 0.4864  8 Pb 3.40-3.58, 1 Bi 3.61
Pb 0.2654 0.1205 0.8363  1 Hg 3.34, 4 Bi 3.41-3.53, 5 Pb 3.43-3.62
Pb 0.4746 0.1719 0.5917  5 Bi 3.35-3.58, 6 Pb 3.37-3.69
Pb 0.5917 0.4746 0.1719  5 Bi 3.35-3.58, 6 Pb 3.37-3.69
Pb 0.7346 0.8795 0.1637  1 Hg 3.34, 4 Bi 3.41-3.53, 5 Pb 3.43-3.62
Pb 0.1637 0.7346 0.8795  1 Hg 3.34, 4 Bi 3.41-3.53, 5 Pb 3.43-3.62
Pb 0.5254 0.8281 0.4083  5 Bi 3.35-3.58, 6 Pb 3.37-3.69
Pb 0.8281 0.4083 0.5254  5 Bi 3.35-3.58, 6 Pb 3.37-3.69
Pb 0.4083 0.5254 0.8281  5 Bi 3.35-3.58, 6 Pb 3.37-3.69
Pb 0.1205 0.8363 0.2654  1 Hg 3.34, 4 Bi 3.41-3.53, 5 Pb 3.43-3.62
Pb 0.1719 0.5917 0.4746  5 Bi 3.35-3.58, 6 Pb 3.37-3.69
Pb 0.8795 0.1637 0.7346  1 Hg 3.34, 4 Bi 3.41-3.53, 5 Pb 3.43-3.62
Pb 0.8363 0.2654 0.1205  1 Hg 3.34, 4 Bi 3.41-3.53, 5 Pb 3.43-3.62
Hg 0.0000 0.0000 0.0000  6 Pb 3.34

Computed properties:
Density ... 10.50 g/cm³
Electronic total energy ... -0.26005 Ry per atom
Crystal system ... trigonal
SG ... R-3, No. 148

=====

[6]
The following is a DFT calculation (GGA-PBE) of crystalline AcY7Er4 at its relaxed geometry.

a = 6.8426 Å, b = 6.8426 Å, c = 12.5475 Å
α = 64.86°, β = 64.86°, γ = 52.45°
With the nearest neighbours (Å) after each atom.
Fractional coordinates of all 12 atoms:
Er 0.6220 0.6220 0.2250  8 Y 3.37-3.77
Er 0.7313 0.7313 0.6894  4 Y 3.23-3.61
Er 0.2687 0.2687 0.3106  4 Y 3.23-3.61
Er 0.3780 0.3780 0.7750  8 Y 3.37-3.77
Y 0.6397 0.6397 0.4849  5 Er 3.25-3.63, 4 Y 3.27-3.50
Y 0.0449 0.0449 0.6437  4 Y 3.41-3.50, 4 Er 3.59-3.76
Y 0.5000 0.5000 0.0000  2 Ac 3.02, 2 Y 3.14
Y 0.2153 0.2153 0.0822  2 Y 3.14-3.41, 4 Er 3.23-3.42, 1 Ac 3.26
Y 0.7847 0.7847 0.9178  2 Y 3.14-3.41, 4 Er 3.23-3.42, 1 Ac 3.26
Y 0.3603 0.3603 0.5151  5 Er 3.25-3.63, 4 Y 3.27-3.50
Y 0.9551 0.9551 0.3563  4 Y 3.41-3.50, 4 Er 3.59-3.76
Ac 0.0000 0.0000 0.0000  4 Y 3.02-3.26

Computed properties:
Density ... 6.15 g/cm³
Electronic total energy ... -0.39020 Ry per atom
Crystal system ... monoclinic
SG ... C2/m, No. 12

=====

[7]
The following is a DFT calculation (GGA-PBE) of crystalline SrFeCo3 at its relaxed geometry.

a = 4.5842 Å, b = 4.5842 Å, c = 4.5842 Å
α = 90.00°, β = 90.00°, γ = 90.00°
With the nearest neighbours (Å) after each atom.
Fractional coordinates of all 5 atoms:
Sr 0.0000 0.0000 0.0000  6 Co 2.29
Co 0.0000 0.0000 0.5000  2 Sr 2.29
Co 0.5000 0.0000 0.0000  2 Sr 2.29
Co 0.0000 0.5000 0.0000  2 Sr 2.29
Fe 0.5000 0.5000 0.5000  12 Co 3.24

Computed properties:
Density ... 5.52 g/cm³
Electronic total energy ... -0.26473 Ry per atom
Crystal system ... cubic
SG ... Pm-3m, No. 221

=====

[8]
The following is a DFT calculation (GGA-PBE) of crystalline PaTi12Nb6 at its relaxed geometry.

a = 8.0914 Å, b = 8.0914 Å, c = 8.0914 Å
α = 112.55°, β = 112.55°, γ = 112.55°
With the nearest neighbours (Å) after each atom.
Fractional coordinates of all 19 atoms:
Nb 0.0032 0.0032 0.6568  1 Nb 2.50, 1 Pa 2.80
Nb 0.9968 0.3432 0.9968  1 Nb 2.50, 1 Pa 2.80
Nb 0.0032 0.6568 0.0032  1 Nb 2.50, 1 Pa 2.80
Nb 0.6568 0.0032 0.0032  1 Nb 2.50, 1 Pa 2.80
Nb 0.9968 0.9968 0.3432  1 Nb 2.50, 1 Pa 2.80
Nb 0.3432 0.9968 0.9968  1 Nb 2.50, 1 Pa 2.80
Ti 0.4141 0.1751 0.4141  4 Ti 2.73-2.91, 2 Nb 2.82, 1 Pa 2.93
Ti 0.5000 0.2085 0.7915  4 Ti 2.46-2.73
Ti 0.2085 0.7915 0.5000  4 Ti 2.46-2.73
Ti 0.5000 0.7915 0.2085  4 Ti 2.46-2.73
Ti 0.7915 0.2085 0.5000  4 Ti 2.46-2.73
Ti 0.4141 0.4141 0.1751  4 Ti 2.73-2.91, 2 Nb 2.82, 1 Pa 2.93
Ti 0.5859 0.5859 0.8249  4 Ti 2.73-2.91, 2 Nb 2.82, 1 Pa 2.93
Ti 0.5859 0.8249 0.5859  4 Ti 2.73-2.91, 2 Nb 2.82, 1 Pa 2.93
Ti 0.2085 0.5000 0.7915  4 Ti 2.46-2.73
Ti 0.7915 0.5000 0.2085  4 Ti 2.46-2.73
Ti 0.8249 0.5859 0.5859  4 Ti 2.73-2.91, 2 Nb 2.82, 1 Pa 2.93
Ti 0.1751 0.4141 0.4141  4 Ti 2.73-2.91, 2 Nb 2.82, 1 Pa 2.93
Pa 0.0000 0.0000 0.0000  6 Nb 2.80, 6 Ti 2.93

Computed properties:
Density ... 6.40 g/cm³
Electronic total energy ... -0.61689 Ry per atom
Crystal system ... trigonal
SG ... R-3m, No. 166

=====

[9]
The following is a DFT calculation (GGA-PBE) of crystalline Dy6ErTh8 at its relaxed geometry.

a = 8.8349 Å, b = 8.8349 Å, c = 8.7876 Å
α = 59.82°, β = 59.82°, γ = 60.00°
With the nearest neighbours (Å) after each atom.
Fractional coordinates of all 15 atoms:
Th 0.1181 0.6670 0.4107  6 Th 3.37-3.71, 3 Dy 3.39-3.63, 1 Er 3.58
Th 0.3330 0.1958 0.5893  6 Th 3.37-3.71, 3 Dy 3.39-3.63, 1 Er 3.58
Th 0.8042 0.1181 0.4107  6 Th 3.37-3.71, 3 Dy 3.39-3.63, 1 Er 3.58
Th 0.1958 0.8819 0.5893  6 Th 3.37-3.71, 3 Dy 3.39-3.63, 1 Er 3.58
Th 0.5774 0.5774 0.2679  4 Th 3.32-3.37, 3 Dy 3.48
Th 0.4226 0.4226 0.7321  4 Th 3.32-3.37, 3 Dy 3.48
Th 0.6670 0.8042 0.4107  6 Th 3.37-3.71, 3 Dy 3.39-3.63, 1 Er 3.58
Th 0.8819 0.3330 0.5893  6 Th 3.37-3.71, 3 Dy 3.39-3.63, 1 Er 3.58
Dy 0.2687 0.0709 0.1234  5 Th 3.39-3.75, 5 Dy 3.42-3.78, 1 Er 3.46
Dy 0.4629 0.7313 0.8766  5 Th 3.39-3.75, 5 Dy 3.42-3.78, 1 Er 3.46
Dy 0.5371 0.2687 0.1234  5 Th 3.39-3.75, 5 Dy 3.42-3.78, 1 Er 3.46
Dy 0.0709 0.5371 0.1234  5 Th 3.39-3.75, 5 Dy 3.42-3.78, 1 Er 3.46
Dy 0.9291 0.4629 0.8766  5 Th 3.39-3.75, 5 Dy 3.42-3.78, 1 Er 3.46
Dy 0.7313 0.9291 0.8766  5 Th 3.39-3.75, 5 Dy 3.42-3.78, 1 Er 3.46
Er 0.0000 0.0000 0.0000  6 Dy 3.46, 6 Th 3.58

Computed properties:
Density ... 10.29 g/cm³
Electronic total energy ... -0.43833 Ry per atom
Crystal system ... trigonal
SG ... R-3, No. 148

=====

[10]
The following is a DFT calculation (GGA-PBE) of crystalline PrZr2Sc6 at its relaxed geometry.

a = 3.3019 Å, b = 8.7798 Å, c = 8.1617 Å
α = 76.69°, β = 90.01°, γ = 100.84°
With the nearest neighbours (Å) after each atom.
Fractional coordinates of all 9 atoms:
Sc 0.6706 0.3411 0.4950  9 Sc 3.22-3.37, 1 Zr 3.32, 2 Pr 3.36-3.37
Sc 0.0729 0.1461 0.8425  4 Zr 3.14-3.35, 7 Sc 3.15-3.37, 1 Pr 3.32
Sc 0.2592 0.5185 0.1599  3 Zr 3.14-3.27, 9 Sc 3.17-3.33
Sc 0.7408 0.4815 0.8401  3 Zr 3.14-3.27, 9 Sc 3.17-3.33
Sc 0.3294 0.6589 0.5050  9 Sc 3.22-3.37, 1 Zr 3.32, 2 Pr 3.36-3.37
Sc 0.9271 0.8539 0.1575  4 Zr 3.14-3.35, 7 Sc 3.15-3.37, 1 Pr 3.32
Pr 0.0000 0.0000 0.5000  2 Pr 3.30, 6 Sc 3.32-3.37, 4 Zr 3.34
Zr 0.5957 0.1916 0.1555  8 Sc 3.14-3.35, 2 Zr 3.30, 2 Pr 3.34
Zr 0.4043 0.8084 0.8445  8 Sc 3.14-3.35, 2 Zr 3.30, 2 Pr 3.34

Computed properties:
Density ... 4.36 g/cm³
Electronic total energy ... -0.48638 Ry per atom
Crystal system ... monoclinic
SG ... C2/m, No. 12

=====

[11]
The following is a DFT calculation (GGA-PBE) of crystalline Dy2YEr2 at its relaxed geometry.

a = 9.2475 Å, b = 9.2475 Å, c = 3.6965 Å
α = 90.00°, β = 90.00°, γ = 90.00°
With the nearest neighbours (Å) after each atom.
Fractional coordinates of all 10 atoms:
Dy 0.3726 0.1274 0.0000  6 Er 3.22-3.34, 1 Dy 3.33
Dy 0.8726 0.3726 0.0000  6 Er 3.22-3.34, 1 Dy 3.33
Dy 0.6274 0.8726 0.0000  6 Er 3.22-3.34, 1 Dy 3.33
Dy 0.1274 0.6274 0.0000  6 Er 3.22-3.34, 1 Dy 3.33
Er 0.6706 0.1706 0.5000  6 Dy 3.22-3.34
Er 0.1706 0.3294 0.5000  6 Dy 3.22-3.34
Er 0.3294 0.8294 0.5000  6 Dy 3.22-3.34
Er 0.8294 0.6706 0.5000  6 Dy 3.22-3.34
Y 0.5000 0.5000 0.0000  4 Dy 3.64, 2 Y 3.70, 8 Er 3.90
Y 0.0000 0.0000 0.0000  4 Dy 3.64, 2 Y 3.70, 8 Er 3.90

Computed properties:
Density ... 7.86 g/cm³
Electronic total energy ... -0.35879 Ry per atom
Crystal system ... tetragonal
SG ... P4/mbm, No. 127

=====

[12]
The following is a DFT calculation (GGA-PBE) of crystalline Nd2YGa3Pd4 at its relaxed geometry.

a = 4.2931 Å, b = 4.2931 Å, c = 11.3615 Å
α = 90.00°, β = 90.00°, γ = 90.00°
With the nearest neighbours (Å) after each atom.
Fractional coordinates of all 10 atoms:
Ga 0.5000 0.0000 0.8795  5 Pd 2.51-2.55
Ga 0.0000 0.5000 0.1205  5 Pd 2.51-2.55
Ga 0.0000 0.0000 0.5000  4 Pd 2.80, 4 Y 3.04
Y 0.5000 0.5000 0.5000  4 Pd 2.80, 4 Ga 3.04
Pd 0.5000 0.5000 0.0000  4 Ga 2.55
Pd 0.0000 0.0000 0.0000  4 Ga 2.55
Pd 0.0000 0.5000 0.3414  3 Ga 2.51-2.80, 2 Y 2.80
Pd 0.5000 0.0000 0.6586  3 Ga 2.51-2.80, 2 Y 2.80
Nd 0.5000 0.0000 0.2258  4 Ga 3.26, 8 Pd 3.31-3.35
Nd 0.0000 0.5000 0.7742  4 Ga 3.26, 8 Pd 3.31-3.35

Computed properties:
Density ... 8.03 g/cm³
Electronic total energy ... -0.39500 Ry per atom
Crystal system ... tetragonal
SG ... P-4m2, No. 115